[1]
The following is a DFT calculation (GGA-PBE) of crystalline Na2HoHf2Te6 at its relaxed geometry.

abc: 7.1819 12.5055 8.1247
angles: 90.00 106.77 90.00
Last column: nearest neighbours and their distance in Å.
Space group C2/m (No. 12)
One atom of each set of equivalent atoms:
Na  0.0000  0.1599  0.0000 (multiplicity 4)  6 Te 3.21-3.24
Ho  0.0000  0.0000  0.5000 (multiplicity 2)  6 Te 3.05-3.06
Hf  0.0000  0.3320  0.5000 (multiplicity 4)  6 Te 2.92-2.93
Te  0.2210  0.5000  0.7228 (multiplicity 4)  2 Hf 2.93, 1 Ho 3.06, 2 Na 3.24
Te  0.2475  0.1729  0.7247 (multiplicity 8)  2 Hf 2.92-2.93, 1 Ho 3.05, 2 Na 3.21-3.24

M_tot ... 0.0 μB/cell
Raw formation energy ... -0.9921 eV/atom

[2]
The following is a DFT calculation (GGA-PBE) of crystalline NdTmFe at its relaxed geometry.

abc: 3.3619 3.3619 12.9512
angles: 90.00 90.00 90.00
Last column: nearest neighbours and their distance in Å.
Space group I4mm (No. 107)
One atom of each set of equivalent atoms:
Nd  0.0000  0.0000  0.0000 (multiplicity 2)  4 Fe 2.93, 1 Tm 3.25
Tm  0.0000  0.0000  0.7494 (multiplicity 2)  4 Fe 2.83
Fe  0.0000  0.0000  0.3675 (multiplicity 2)  4 Tm 2.83, 4 Nd 2.93

M_tot ... 0.4 μB/cell
Formation energy from the elements ... 0.11 eV/atom

[3]
The following is a DFT calculation (GGA-PBE) of crystalline Ca5Si2Sb at its relaxed geometry.

abc: 7.7795 7.7795 14.7984
angles: 90.00 90.00 90.00
Last column: nearest neighbours and their distance in Å.
Space group I4/mcm (No. 140)
One atom of each set of equivalent atoms:
Ca  0.0000  0.0000  0.0000 (multiplicity 4)  4 Si 3.13
Ca  0.1715  0.3285  0.1391 (multiplicity 16)  3 Si 3.06-3.13, 2 Sb 3.32
Si  0.1143  0.3857  0.5000 (multiplicity 8)  1 Si 2.51
Sb  0.0000  0.0000  0.2500 (multiplicity 4)  10 Ca 3.32-3.70

M_tot ... 2.9 μB/cell
Raw formation energy ... -0.6833 eV/atom

[4]
The following is a DFT calculation (GGA-PBE) of crystalline PmEuSbCl at its relaxed geometry.

abc: 7.6256 7.6256 7.6256
angles: 90.00 90.00 90.00
Last column: nearest neighbours and their distance in Å.
Space group F-43m (No. 216)
One atom of each set of equivalent atoms:
Pm  0.0000  0.0000  0.0000 (multiplicity 4)  4 Cl 3.30, 4 Sb 3.30
Eu  0.0000  0.0000  0.5000 (multiplicity 4)  4 Cl 3.30, 4 Sb 3.30
Sb  0.2500  0.2500  0.7500 (multiplicity 4)  4 Pm 3.30, 4 Eu 3.30
Cl  0.2500  0.2500  0.2500 (multiplicity 4)  4 Pm 3.30, 4 Eu 3.30

M_tot ... 31.6 μB/cell
Raw formation energy ... -1.2549 eV/atom

[5]
The following is a DFT calculation (GGA-PBE) of crystalline ZnPtSe2 at its relaxed geometry.

abc: 3.7686 4.0633 11.9509
angles: 90.00 90.00 90.00
Last column: nearest neighbours and their distance in Å.
Space group Immm (No. 71)
One atom of each set of equivalent atoms:
Zn  0.0000  0.0000  0.0000 (multiplicity 2)  4 Se 2.64, 4 Pt 2.77
Pt  0.0000  0.0000  0.5000 (multiplicity 2)  4 Se 2.53, 4 Zn 2.77
Se  0.0000  0.5000  0.1409 (multiplicity 4)  2 Pt 2.53, 2 Zn 2.64

M_tot ... 0.0 μB/cell
Raw formation energy ... -0.3542 eV/atom

[6]
The following is a DFT calculation (GGA-PBE) of crystalline NiHgP2 at its relaxed geometry.

abc: 3.2713 3.2713 20.9363
angles: 90.00 90.00 120.00
Last column: nearest neighbours and their distance in Å.
Space group R3m (No. 160, hexagonal axes)
One atom of each set of equivalent atoms:
Ni  0.0000  0.0000  0.0000 (multiplicity 3)  3 P 2.33
Hg  0.0000  0.0000  0.2367 (multiplicity 3)  3 Ni 2.77, 3 P 2.96
P  0.0000  0.0000  0.4609 (multiplicity 3)  3 P 2.30
P  0.0000  0.0000  0.7315 (multiplicity 3)  3 P 2.30, 3 Ni 2.33

M_tot ... 0.0 μB/cell
Formation energy from the elements ... 0.11 eV/atom

[7]
The following is a DFT calculation (GGA-PBE) of crystalline Li3HgGe at its relaxed geometry.

abc: 10.1389 4.6920 7.7395
angles: 90.00 111.06 90.00
Last column: nearest neighbours and their distance in Å.
Space group C2/m (No. 12)
One atom of each set of equivalent atoms:
Li  0.0545  0.0000  0.3360 (multiplicity 4)  2 Ge 2.74-2.84, 3 Hg 2.74-2.81, 3 Li 2.80-2.92
Li  0.0640  0.5000  0.8547 (multiplicity 4)  3 Ge 2.70-2.83, 5 Li 2.80-2.99, 1 Hg 2.90
Li  0.2479  0.5000  0.2324 (multiplicity 4)  3 Ge 2.72-2.80, 3 Li 2.85-2.99, 3 Hg 2.85-2.88
Hg  0.1557  0.5000  0.5402 (multiplicity 4)  8 Li 2.74-3.07, 1 Hg 2.99
Ge  0.1384  0.0000  0.0363 (multiplicity 4)  1 Ge 2.66, 8 Li 2.70-2.84

M_tot ... 0.0 μB/cell
Formation energy from the elements ... -0.29 eV/atom

[8]
The following is a DFT calculation (GGA-PBE) of crystalline AlOs3F at its relaxed geometry.

abc: 4.4792 4.4792 4.4792
angles: 90.00 90.00 90.00
Last column: nearest neighbours and their distance in Å.
Space group Pm-3m (No. 221)
One atom of each set of equivalent atoms:
Al  0.0000  0.0000  0.0000 (multiplicity 1)  6 Os 2.24
Os  0.0000  0.0000  0.5000 (multiplicity 3)  2 Al 2.24
F  0.5000  0.5000  0.5000 (multiplicity 1)  12 Os 3.17

M_tot ... 0.0 μB/cell
Raw formation energy ... 2.1744 eV/atom

[9]
The following is a DFT calculation (GGA-PBE) of crystalline Tc4IrRh at its relaxed geometry.

abc: 7.1449 7.1449 7.1449
angles: 90.00 90.00 90.00
Last column: nearest neighbours and their distance in Å.
Space group F-43m (No. 216)
One atom of each set of equivalent atoms:
Tc  0.1254  0.1254  0.1254 (multiplicity 16)  6 Tc 2.52-2.54
Ir  0.2500  0.2500  0.7500 (multiplicity 4)  12 Tc 2.96, 4 Rh 3.09
Rh  0.0000  0.0000  0.5000 (multiplicity 4)  12 Tc 2.96, 4 Ir 3.09

M_tot ... 0.0 μB/cell
Formation energy from the elements ... 0.32 eV/atom

[10]
The following is a DFT calculation (GGA-PBE) of crystalline Ca2FeNi at its relaxed geometry.

abc: 6.9966 6.9966 6.9966
angles: 90.00 90.00 90.00
Last column: nearest neighbours and their distance in Å.
Space group Fm-3m (No. 225)
One atom of each set of equivalent atoms:
Ca  0.2500  0.2500  0.2500 (multiplicity 8)  4 Fe 3.03, 4 Ni 3.03
Fe  0.0000  0.0000  0.0000 (multiplicity 4)  8 Ca 3.03
Ni  0.0000  0.0000  0.5000 (multiplicity 4)  8 Ca 3.03

M_tot ... 10.1 μB/cell
Formation energy from the elements ... 0.42 eV/atom

[11]
The following is a DFT calculation (GGA-PBE) of crystalline HoZrInGa at its relaxed geometry.

abc: 7.1197 7.1197 7.1197
angles: 90.00 90.00 90.00
Last column: nearest neighbours and their distance in Å.
Space group F-43m (No. 216)
One atom of each set of equivalent atoms:
Ho  0.0000  0.0000  0.0000 (multiplicity 4)  4 In 3.08, 4 Ga 3.08
Zr  0.0000  0.0000  0.5000 (multiplicity 4)  4 Ga 3.08, 4 In 3.08
In  0.2500  0.2500  0.7500 (multiplicity 4)  4 Zr 3.08, 4 Ho 3.08
Ga  0.2500  0.2500  0.2500 (multiplicity 4)  4 Zr 3.08, 4 Ho 3.08

M_tot ... 0.0 μB/cell
Formation energy from the elements ... -0.33 eV/atom

[12]
The following is a DFT calculation (GGA-PBE) of crystalline LaBe4Au at its relaxed geometry.

abc: 7.0917 7.0917 7.0917
angles: 90.00 90.00 90.00
Last column: nearest neighbours and their distance in Å.
Space group F-43m (No. 216)
One atom of each set of equivalent atoms:
La  0.0000  0.0000  0.0000 (multiplicity 4)  12 Be 2.95, 4 Au 3.07
Be  0.1187  0.1187  0.6187 (multiplicity 16)  6 Be 2.38-2.63
Au  0.2500  0.2500  0.2500 (multiplicity 4)  12 Be 2.93, 4 La 3.07

M_tot ... 1.4 μB/cell
Formation energy from the elements ... 0.26 eV/atom

[13]
The following is a DFT calculation (GGA-PBE) of crystalline KZr2Os at its relaxed geometry.

abc: 4.0989 4.0989 10.1385
angles: 90.00 90.00 90.00
Last column: nearest neighbours and their distance in Å.
Space group I-4m2 (No. 119)
One atom of each set of equivalent atoms:
K  0.0000  0.0000  0.0000 (multiplicity 2)  4 Zr 2.90
Zr  0.0000  0.0000  0.5000 (multiplicity 2)  4 K 2.90
Zr  0.0000  0.5000  0.2500 (multiplicity 2)  4 Os 2.90
Os  0.0000  0.5000  0.7500 (multiplicity 2)  4 Zr 2.90

M_tot ... 0.0 μB/cell
Formation energy from the elements ... 0.97 eV/atom

[14]
The following is a DFT calculation (GGA-PBE) of crystalline Pm3PbSe2 at its relaxed geometry.

abc: 4.3450 6.1246 12.9062
angles: 90.00 90.00 90.00
Last column: nearest neighbours and their distance in Å.
Space group Immm (No. 71)
One atom of each set of equivalent atoms:
Pm  0.0000  0.0000  0.0000 (multiplicity 2)  4 Se 3.03, 2 Pb 3.06
Pm  0.0000  0.0000  0.3248 (multiplicity 4)  4 Se 3.01-3.07, 2 Pb 3.14
Pb  0.0000  0.5000  0.0000 (multiplicity 2)  6 Pm 3.06-3.14
Se  0.0000  0.5000  0.3363 (multiplicity 4)  6 Pm 3.01-3.07

M_tot ... 0.0 μB/cell
Raw formation energy ... -1.4171 eV/atom

[15]
The following is a DFT calculation (GGA-PBE) of crystalline ZnGe2AuS at its relaxed geometry.

abc: 5.0053 5.0053 4.4671
angles: 90.00 90.00 90.00
Last column: nearest neighbours and their distance in Å.
Space group P4/mmm (No. 123)
One atom of each set of equivalent atoms:
Zn  0.0000  0.0000  0.0000 (multiplicity 1)  2 S 2.23
Ge  0.0000  0.5000  0.5000 (multiplicity 2)  2 S 2.50
Au  0.5000  0.5000  0.0000 (multiplicity 1)  8 Ge 3.35, 4 Zn 3.54
S  0.0000  0.0000  0.5000 (multiplicity 1)  2 Zn 2.23

M_tot ... 0.0 μB/cell
Raw formation energy ... 0.5010 eV/atom

[16]
The following is a DFT calculation (GGA-PBE) of crystalline InCo2Se at its relaxed geometry.

abc: 3.0546 3.3997 12.1485
angles: 90.00 90.00 90.00
Last column: nearest neighbours and their distance in Å.
Space group Imm2 (No. 44)
One atom of each set of equivalent atoms:
In  0.0000  0.0000  0.0000 (multiplicity 2)  6 Co 2.75-2.77, 2 In 3.05
Co  0.0000  0.0000  0.3739 (multiplicity 2)  2 Se 2.31
Co  0.0000  0.5000  0.6901 (multiplicity 2)  4 Se 2.38
Se  0.0000  0.5000  0.2447 (multiplicity 2)  6 Co 2.31-2.38

M_tot ... 0.0 μB/cell
Raw formation energy ... 0.1343 eV/atom

[17]
The following is a DFT calculation (GGA-PBE) of crystalline TbPr3Mg at its relaxed geometry.

abc: 3.8474 9.4045 9.9746
angles: 90.00 101.09 90.00
Last column: nearest neighbours and their distance in Å.
Space group P2_1/m (No. 11)
One atom of each set of equivalent atoms:
Tb  0.0064  0.2500  0.0133 (multiplicity 2)  1 Mg 3.42, 9 Pr 3.51-3.70
Pr  0.1966  0.2500  0.3912 (multiplicity 2)  2 Mg 3.29, 4 Pr 3.65-3.66
Pr  0.4065  0.0037  0.8124 (multiplicity 4)  2 Mg 3.34, 4 Tb 3.51-3.60, 3 Pr 3.65-3.67
Mg  0.1665  0.7500  0.3358 (multiplicity 2)  6 Pr 3.29-3.34, 1 Tb 3.42

M_tot ... 0.0 μB/cell
Formation energy from the elements ... 0.17 eV/atom